# 1
VASP calculation (GGA-PBE) on K4Mg3CuF12 after structural relaxation.

Electronic total energy: -4.7658 eV per atom
Energy relative to the elements, uncorrected: -59.59 eV per formula unit
N(E_F): 0.345 states/eV/atom
Space group: No. 229

```
K4Mg3CuF12
1.0
7.034 0.000 0.000
-2.345 6.631 0.000
-2.345 -3.316 5.743
K Mg Cu F
4 3 1 12
Direct
0.500 0.500 0.500
0.000 0.000 0.500
0.500 0.000 0.000
0.000 0.500 0.000
0.500 0.000 0.500
0.500 0.500 0.000
0.000 0.500 0.500
0.000 0.000 0.000
0.250 0.500 0.750
0.747 0.000 0.747
0.253 0.000 0.253
0.750 0.500 0.250
0.747 0.747 0.000
0.253 0.253 0.000
0.750 0.250 0.500
0.250 0.750 0.500
0.500 0.250 0.750
0.000 0.747 0.747
0.500 0.750 0.250
0.000 0.253 0.253
```



# 2
VASP calculation (GGA-PBE) on CeB2ClO4 after structural relaxation.

Electronic total energy: -7.7440 eV per atom
Energy relative to the elements, uncorrected: -20.98 eV per formula unit
N(E_F): 1.000 states/eV/atom
Space group: No. 2

```
CeB2ClO4
1.0
4.254 0.006 -0.004
-2.004 6.317 0.019
0.126 -1.134 8.109
Ce B Cl O
2 4 2 8
Direct
0.199 0.961 0.221
0.801 0.039 0.779
0.432 0.559 0.196
0.831 0.346 0.150
0.568 0.441 0.804
0.169 0.654 0.850
0.148 0.804 0.545
0.852 0.196 0.455
0.906 0.467 0.819
0.518 0.371 0.184
0.840 0.153 0.078
0.482 0.629 0.816
0.627 0.761 0.210
0.373 0.239 0.790
0.160 0.847 0.922
0.094 0.533 0.181
```



# 3
VASP calculation (GGA-PBE) on MoBr5 after structural relaxation.

Electronic total energy: -3.3129 eV per atom
E above lowest polymorph: 0.217 eV per atom
Energy relative to the elements, uncorrected: -0.68 eV per formula unit
N(E_F): 0.185 states/eV/atom
Space group: No. 8

```
MoBr5
1.0
1.536 7.173 1.083
-1.536 7.173 1.083
0.000 5.208 10.129
Mo Br
1 5
Direct
0.695 0.695 0.111
0.138 0.138 0.970
0.694 0.694 0.611
0.251 0.251 0.252
0.373 0.373 0.919
0.016 0.016 0.304
```



# 4
VASP calculation (GGA-PBE) on Pr2HoAg after structural relaxation.

Electronic total energy: -4.2378 eV per atom
E above lowest polymorph: 0.098 eV per atom
N(E_F): 1.133 states/eV/atom
Space group: No. 160

```
Pr2HoAg
1.0
3.672 0.000 0.000
1.836 3.180 0.000
1.836 1.060 10.682
Pr Ho Ag
2 1 1
Direct
0.076 0.076 0.771
0.257 0.257 0.229
0.499 0.499 0.502
0.667 0.667 0.998
```



# 5
VASP calculation (GGA-PBE) on Re2Br8F after structural relaxation.

Electronic total energy: -4.0490 eV per atom
Energy relative to the elements, uncorrected: -4.39 eV per formula unit
N(E_F): 0.777 states/eV/atom
Space group: No. 12

```
Re2Br8F
1.0
7.438 -0.226 1.216
-0.406 7.217 0.402
1.145 0.226 7.449
Re Br F
2 8 1
Direct
0.903 0.720 0.097
0.097 0.280 0.903
0.873 0.267 0.728
0.272 0.267 0.127
0.127 0.733 0.272
0.353 0.198 0.647
0.728 0.733 0.873
0.815 0.378 0.185
0.185 0.622 0.815
0.647 0.802 0.353
0.000 0.000 0.000
```



# 6
VASP calculation (GGA-PBE) on ReSiAu2 after structural relaxation.

Electronic total energy: -5.7057 eV per atom
Energy relative to the elements, uncorrected: 1.60 eV per formula unit
N(E_F): 0.724 states/eV/atom
Space group: No. 44

```
ReSiAu2
1.0
-0.602 -0.221 5.378
-2.780 -4.086 2.217
4.222 1.472 -3.057
Au Re Si
2 1 1
Direct
0.038 0.038 0.000
0.745 0.245 0.500
0.456 0.456 0.000
0.261 0.761 0.500
```



# 7
VASP calculation (GGA-PBE) on AcYInAg after structural relaxation.

Electronic total energy: -4.3725 eV per atom
E above lowest polymorph: 0.038 eV per atom
N(E_F): 0.867 states/eV/atom
Space group: No. 216

```
AcYInAg
1.0
5.515 0.000 0.000
2.757 4.776 0.000
2.757 1.592 4.503
Y Ac Ag In
1 1 1 1
Direct
0.250 0.250 0.250
0.750 0.750 0.750
0.000 0.000 0.000
0.500 0.500 0.500
```



# 8
VASP calculation (GGA-PBE) on K3SnSb2Au9 after structural relaxation.

Electronic total energy: -3.1901 eV per atom
Energy relative to the elements, uncorrected: -2.81 eV per formula unit
N(E_F): 0.370 states/eV/atom
Space group: No. 164

```
K3SnSb2Au9
1.0
-4.513 5.105 -2.435
3.805 -3.996 -4.680
-7.311 -6.607 -0.302
K Sn Sb Au
3 1 2 9
Direct
0.333 0.667 0.724
0.000 0.000 0.000
0.667 0.333 0.276
0.000 0.000 0.500
0.333 0.667 0.171
0.667 0.333 0.829
0.796 0.204 0.583
0.796 0.592 0.583
0.408 0.204 0.583
0.592 0.796 0.417
0.204 0.408 0.417
0.204 0.796 0.417
0.500 0.000 0.000
0.000 0.500 0.000
0.500 0.500 0.000
```



# 9
VASP calculation (GGA-PBE) on Er5Pb4Au after structural relaxation.

Electronic total energy: -4.4537 eV per atom
N(E_F): 0.828 states/eV/atom
Space group: No. 79

```
Er5Pb4Au
1.0
6.220 0.000 0.000
3.110 6.853 0.000
3.110 0.000 6.853
Er Pb Au
5 4 1
Direct
0.883 0.386 0.803
0.269 0.803 0.614
0.686 0.197 0.386
0.073 0.614 0.197
0.608 0.000 0.000
0.380 0.387 0.801
0.767 0.801 0.613
0.180 0.199 0.387
0.568 0.613 0.199
0.097 0.000 0.000
```



# 10
VASP calculation (GGA-PBE) on MgCd2C after structural relaxation.

Electronic total energy: -2.2415 eV per atom
E above lowest polymorph: 0.000 eV per atom
N(E_F): 0.000 states/eV/atom
Space group: No. 141

```
MgCd2C
1.0
-2.258 -1.099 -6.438
-1.820 -6.436 1.737
-6.502 -2.157 -1.060
Mg C Cd
2 2 4
Direct
0.000 0.000 0.000
0.750 0.250 0.500
0.500 0.500 0.000
0.250 0.750 0.500
0.375 0.125 0.250
0.375 0.625 0.250
0.375 0.625 0.750
0.875 0.625 0.750
```



# 11
VASP calculation (GGA-PBE) on AlCo3Pb after structural relaxation.

Electronic total energy: -4.9739 eV per atom
E above lowest polymorph: 0.000 eV per atom
N(E_F): 2.161 states/eV/atom
Space group: No. 221

```
AlCo3Pb
1.0
4.357 0.000 0.000
0.000 4.357 0.000
0.000 0.000 4.357
Pb Co Al
1 3 1
Direct
0.500 0.500 0.500
0.000 0.500 0.000
0.000 0.000 0.500
0.500 0.000 0.000
0.000 0.000 0.000
```



# 12
VASP calculation (GGA-PBE) on CoCuH after structural relaxation.

Electronic total energy: -4.7859 eV per atom
E above lowest polymorph: 0.000 eV per atom
N(E_F): 0.601 states/eV/atom
Space group: No. 12

```
CoCuH
1.0
2.593 0.000 0.000
-1.297 2.198 0.435
0.000 -0.146 8.743
H Co Cu
2 2 2
Direct
0.241 0.481 0.786
0.759 0.519 0.214
0.128 0.256 0.114
0.872 0.744 0.886
0.373 0.745 0.380
0.627 0.255 0.620
```